1.
LaSnI2N after structural relaxation. Source: Alexandria via LeMat-Bulk, functional PBE.

## Properties
magnetic moment: 0.459 μB/f.u.
space group: No. 123
E_form (uncorrected): 0.045 eV per atom
ΔE to the lowest computed polymorph: 0.322 eV/atom
V: 31.759 Å³ per atom
E_tot: -20.1 eV/cell

```
5
Lattice="6.317 0.000 0.000 0.000 6.317 0.000 0.000 0.000 3.980" Properties=species:S:1:pos:R:3 pbc="T T T"
La 0.000 0.000 0.000
Sn 3.158 3.158 1.990
I 0.000 3.158 1.990
I 3.158 0.000 1.990
N 3.158 3.158 0.000
```



2.
LiSi after structural relaxation. Source: Alexandria via LeMat-Bulk, functional PBE.

## Properties
magnetic moment: 0.000 μB/f.u.
space group: No. 194
E_form (uncorrected): 0.024 eV per atom
V: 16.115 Å³ per atom
E_tot: -29.2 eV/cell

```
8
Lattice="4.192 0.000 0.000 -2.096 3.630 0.000 0.000 0.000 8.472" Properties=species:S:1:pos:R:3 pbc="T T T"
Li 0.000 2.420 0.625
Li 0.000 2.420 3.611
Li 2.096 1.210 4.860
Li 2.096 1.210 7.847
Si 0.000 0.000 2.118
Si 0.000 0.000 6.354
Si 0.000 2.420 6.354
Si 2.096 1.210 2.118
```



3.
Na3U2Te6Pd after structural relaxation. Source: Alexandria via LeMat-Bulk, functional PBE.

## Properties
magnetic moment: 4.343 μB/f.u.
space group: No. 12
E_form (uncorrected): -0.667 eV per atom
V: 30.625 Å³ per atom
E_tot: -58.6 eV/cell

```
12
Lattice="3.785 -6.416 0.000 3.785 6.416 0.000 -2.627 0.000 7.567" Properties=species:S:1:pos:R:3 pbc="T T T"
Na 0.000 0.000 0.000
Na 3.785 2.201 0.000
Na 3.785 -2.201 0.000
U 2.471 4.302 3.784
U 2.471 -4.302 3.784
Te 1.300 2.019 2.129
Te -0.117 0.000 5.607
Te 1.300 -2.019 2.129
Te 3.643 2.019 5.439
Te 5.059 0.000 1.960
Te 3.643 -2.019 5.439
Pd 2.471 0.000 3.784
```



4.
GdTmPuCd after structural relaxation. Source: Alexandria via LeMat-Bulk, functional PBE.

## Properties
magnetic moment: 14.127 μB/f.u.
space group: No. 216
energy relative to the elements: 0.062 eV per atom
V: 27.797 Å³ per atom
E_tot: -33.6 eV/cell

```
4
Lattice="0.000 3.817 3.817 3.817 0.000 3.817 3.817 3.817 0.000" Properties=species:S:1:pos:R:3 pbc="T T T"
Gd 0.000 0.000 0.000
Tm 3.817 3.817 3.817
Pu 5.725 5.725 5.725
Cd 1.908 1.908 1.908
```



5.
DyCoB2Ru after structural relaxation. Source: Alexandria via LeMat-Bulk, functional PBE.

## Properties
magnetic moment: 0.000 μB/f.u.
space group: No. 119
energy relative to the elements: -0.526 eV per atom
V: 13.249 Å³ per atom
E_tot: -37.0 eV/cell

```
5
Lattice="-1.879 1.879 4.692 1.879 -1.879 4.692 1.879 1.879 -4.692" Properties=species:S:1:pos:R:3 pbc="T T T"
Dy 0.000 0.000 0.000
Co 0.000 1.879 2.346
B 0.000 0.000 3.206
B 0.000 0.000 6.177
Ru 1.879 0.000 2.346
```



6.
K2TbSi2O6 after structural relaxation. Source: Alexandria via LeMat-Bulk, functional PBE.

## Properties
magnetic moment: 1.001 μB/f.u.
space group: No. 12
E_form (uncorrected): -2.557 eV per atom
V: 16.059 Å³ per atom
E_tot: -75.5 eV/cell

```
11
Lattice="5.093 -2.940 0.000 5.093 2.940 0.000 -3.527 0.000 5.899" Properties=species:S:1:pos:R:3 pbc="T T T"
K 1.576 0.000 0.923
K 5.084 0.000 4.975
Tb -1.763 0.000 2.949
Si 1.730 0.000 4.622
Si 4.930 0.000 1.277
O 4.088 1.369 1.476
O 0.217 0.000 4.063
O 2.572 1.369 4.423
O 4.088 -1.369 1.476
O 6.443 0.000 1.836
O 2.572 -1.369 4.423
```